Entry 1:
## Pr4Nd7Er (PBE-GGA)

Data for a relaxed structure of Pr4Nd7Er.

The space group is C2/m (No. 12) and the conventional cell measures 16.592, 6.120 and 9.434 Å, with angles of 90.00, 116.12 and 90.00 degrees. The distinct sites, in fractional coordinates, are Pr at (0.075, 0.000, 0.202), Pr at (0.174, 0.000, 0.887), Nd at (0.000, 0.000, 0.500), Nd at (0.080, 0.500, 0.933), Nd at (0.207, 0.500, 0.721), Nd at (0.208, 0.500, 0.374) and Er at (0.000, 0.500, 0.500).

Entry 2:
## Pr4NdEr6 (PBE-GGA)

Data for a relaxed structure of Pr4NdEr6.

The space group is I-42m (No. 121) and the conventional cell measures 6.713, 6.713 and 16.963 Å, with angles of 90.00, 90.00 and 90.00 degrees. The distinct sites, in fractional coordinates, are Pr at (0.191, 0.191, 0.176), Nd at (0.000, 0.000, 0.000), Er at (0.000, 0.500, 0.000) and Er at (0.177, 0.177, 0.378).

Entry 3:
## Pr2Nd3Er5 (PBE-GGA)

Data for a relaxed structure of Pr2Nd3Er5.

The space group is C2/c (No. 15) and the conventional cell measures 10.658, 16.363 and 9.345 Å, with angles of 90.00, 124.71 and 90.00 degrees. The distinct sites, in fractional coordinates, are Pr at (0.146, 0.121, 0.046), Nd at (0.000, 0.270, 0.750), Nd at (0.151, 0.377, 0.547), Er at (0.000, 0.027, 0.250), Er at (0.000, 0.228, 0.250), Er at (0.000, 0.474, 0.750) and Er at (0.246, 0.385, 0.248).

Entry 4:
## Pr4Nd7Er (PBE-GGA)

Data for a relaxed structure of Pr4Nd7Er.

The space group is P-1 (No. 2) and the conventional cell measures 6.409, 7.390 and 9.207 Å, with angles of 89.91, 76.45 and 89.92 degrees. The distinct sites, in fractional coordinates, are Pr at (0.220, 0.253, 0.329), Pr at (0.278, 0.999, 0.668), Nd at (0.000, 0.252, 0.000), Nd at (0.221, 0.748, 0.328), Nd at (0.282, 0.499, 0.669), Nd at (0.500, 0.000, 0.000) and Er at (0.500, 0.500, 0.000).

Entry 5:
## PrNd2Er3 (PBE-GGA)

Data for a relaxed structure of PrNd2Er3.

The space group is C2/c (No. 15) and the conventional cell measures 9.021, 9.891 and 9.041 Å, with angles of 90.00, 101.66 and 90.00 degrees. The distinct sites, in fractional coordinates, are Pr at (0.000, 0.085, 0.250), Nd at (0.123, 0.254, 0.626), Er at (0.000, 0.419, 0.250) and Er at (0.250, 0.084, 0.999).

Entry 6:
## Pr8Nd6Er (PBE-GGA)

Data for a relaxed structure of Pr8Nd6Er.

The space group is R-3 (No. 148, hexagonal axes) and the conventional cell measures 9.3665, 9.3665 and 21.2384 Å, with angles of 90.00, 90.00 and 120.00 degrees. The distinct sites, in fractional coordinates, are Pr at (0.0000, 0.0000, 0.0780), Pr at (0.0805, 0.5223, 0.3064), Nd at (0.0519, 0.8045, 0.2072) and Er at (0.0000, 0.0000, 0.5000).

Number 1: formation energy from the elements 0.209 eV/atom. Number 2: formation energy from the elements 0.303 eV/atom. Number 3: formation energy from the elements 0.178 eV/atom. Number 4: formation energy from the elements 0.016 eV/atom. Number 5: formation energy from the elements 0.068 eV/atom. Number 6: formation energy from the elements 0.107 eV/atom.